# 1
## LaNiCl2 (PBE)

Data for a relaxed structure of LaNiCl2.

Cell: 6.3607 9.1049 4.5155 Å, 90.00 134.43 90.00°
Space group C2/m (No. 12)
One atom of each set of equivalent atoms:
La: 0.0000 0.0000 0.0000 [2 per cell]
Ni: 0.0000 0.5000 0.0000 [2 per cell]
Cl: 0.2500 0.2500 0.5000 [4 per cell]

## Properties
ΔE to the lowest computed polymorph = 0.295 eV per atom
E_tot = -0.1646 Ha/atom
Raw formation energy = -0.878 eV per atom

---

# 2
## CeEuErLu (PBE)

Data for a relaxed structure of CeEuErLu.

Cell: 8.0609 8.0609 8.0609 Å, 90.00 90.00 90.00°
Space group F-43m (No. 216)
One atom of each set of equivalent atoms:
Ce: 0.0000 0.0000 0.0000 [4 per cell]
Eu: 0.0000 0.0000 0.5000 [4 per cell]
Er: 0.2500 0.2500 0.2500 [4 per cell]
Lu: 0.2500 0.2500 0.7500 [4 per cell]

## Properties
Energy of formation from the pure elements = 0.210 eV per atom
E_tot = -0.2247 Ha/atom

---

# 3
## HoMgNi (PBE)

Data for a relaxed structure of HoMgNi.

Cell: 4.6177 4.6271 11.4232 Å, 90.00 90.00 90.00°
Space group Cmmm (No. 65)
One atom of each set of equivalent atoms:
Ho: 0.0000 0.0000 0.2269 [4 per cell]
Mg: 0.0000 0.0000 0.5000 [2 per cell]
Mg: 0.0000 0.5000 0.0000 [2 per cell]
Ni: 0.0000 0.5000 0.3714 [4 per cell]

## Properties
Energy of formation from the pure elements = -0.201 eV per atom
E_tot = -0.1538 Ha/atom